VASP calculation (PBE-GGA) on a relaxed structure of CoBr.

Density of states at the Fermi level ... 0.80 states/eV/f.u.
Final energy ... -4.340 eV per atom
Relative energy among the computed polymorphs ... 163 meV/atom
Size of the total moment ... 1.000 μB/atom
Crystal system ... monoclinic

Cell and atoms, written as POSCAR:
```
CoBr
1.0
3.1890 -1.8430 0.0000
3.1890 1.8430 0.0000
-0.0240 0.0000 7.6195
Co Br
2 2
direct
0.0000 0.0000 0.0000
0.6657 0.6657 0.8625
0.3342 0.3342 0.1829
0.9985 0.9985 0.6768
```